Hg2BiN2 GGA-PBE relaxed; crystal system = monoclinic; E_form (uncorrected) = 1140 meV per atom
1.0
-0.761 2.978 -1.295
-2.521 0.295 2.163
3.407 5.242 5.802
Bi N Hg
1 2 2
Direct
0.000 0.000 0.000 Bi
0.844 0.844 0.308 N
0.156 0.156 0.692 N
0.328 0.328 0.341 Hg
0.672 0.672 0.659 Hg

***

Hg2BiN GGA-PBE relaxed; crystal system = tetragonal; E_form (uncorrected) = 800 meV per atom
1.0
6.402 0.000 0.000
0.000 6.402 0.000
3.201 3.201 5.058
Hg N Bi
4 2 2
Direct
0.375 0.498 0.750 Hg
0.248 0.625 0.250 Hg
0.875 0.752 0.750 Hg
0.502 0.125 0.250 Hg
0.250 0.750 0.500 N
0.500 0.500 0.000 N
0.750 0.250 0.500 Bi
0.000 0.000 0.000 Bi

***

HgBi2N GGA-PBE relaxed; crystal system = tetragonal; E_form (uncorrected) = 540 meV per atom
1.0
-0.833 -4.323 6.039
6.402 2.662 2.789
0.999 1.771 6.030
Bi Hg N
4 2 2
Direct
0.875 0.783 0.750 Bi
0.533 0.125 0.250 Bi
0.375 0.467 0.750 Bi
0.217 0.625 0.250 Bi
0.750 0.250 0.500 Hg
0.000 0.000 0.000 Hg
0.250 0.750 0.500 N
0.500 0.500 0.000 N

***

Number 1: E_tot -15.44 eV/cell. Number 2: E_tot -19.22 eV/cell. Number 3: E_tot -28.46 eV/cell.